a) ## Tc2NiHW (GGA-PBE)

Data for a relaxed structure of Tc2NiHW.

- Fermi-level density of states: 3.6 states/eV/cell

Lattice parameters (Å, degrees): 3.8688 3.8688 3.9197 90.00 90.00 90.00
Sites, in units of the cell vectors:
1 Tc 0.0000 0.5000 0.0000
2 Tc 0.5000 0.0000 0.0000
3 Ni 0.0000 0.0000 0.5000
4 H 0.5000 0.5000 0.0000
5 W 0.5000 0.5000 0.5000


b) ## Tc2NiHW (GGA-PBE)

Data for a relaxed structure of Tc2NiHW.

- Fermi-level density of states: 3.1 states/eV/cell

Lattice parameters (Å, degrees): 3.9805 3.9805 3.6591 90.00 90.00 90.00
Sites, in units of the cell vectors:
1 Tc 0.0000 0.5000 0.0000
2 Tc 0.5000 0.0000 0.0000
3 Ni 0.0000 0.0000 0.5000
4 H 0.0000 0.0000 0.0000
5 W 0.5000 0.5000 0.5000


Calculated relative energies: a) 0.099; b) 0.000, given in eV/atom